## TmTlInHg (PBE)

Data for an optimized crystal structure of TmTlInHg.

Values from the calculation:
total magnetic moment: 0.00 μB/cell
total energy: -2.6166 eV per atom
offset from the most stable computed form: 117 meV per atom
formation enthalpy at 0 K: -14.2 kJ/mol of atoms

Structure (POSCAR):
```
TmTlInHg
1.0
-1.6462 -4.9094 0.9236
2.9786 -4.0878 -1.4431
2.3908 -2.9318 3.6542
In Tm Tl Hg
1 1 1 1
direct
0.2500 0.2500 0.2500
0.7500 0.7500 0.7500
0.0000 0.0000 0.0000
0.5000 0.5000 0.5000
```